(1)
Here is crystalline MgOsW2 at its relaxed geometry from the Alexandria database. Energies are from PBE.

Energy of formation in eV per formula unit: 1.3
Space-group type: P4/mmm (123)
Electronic total energy in eV/atom: -9.361

Structure (POSCAR):
```
MgOsW2
1.0
-0.6970 -2.3168 -1.4345
2.2620 -1.3175 1.0288
-4.4911 -2.6567 6.4729
W Os Mg
2 1 1
direct
0.0000 0.0000 0.9770
0.0000 0.0000 0.5230
0.5000 0.5000 0.7500
0.5000 0.5000 0.2500
```


(2)
Here is crystalline Zn3Pb5 at its relaxed geometry from the Alexandria database. Energies are from PBE.

Energy of formation in eV per formula unit: 1.2
Space-group type: Cmmm (65)
Offset from the most stable computed form in eV per atom: 0.0220
Electronic total energy in eV/atom: -2.649

Structure (POSCAR):
```
Zn3Pb5
1.0
4.5354 -5.3184 0.0000
4.5354 5.3184 0.0000
0.0000 0.0000 4.3920
Pb Zn
5 3
direct
0.7130 0.7130 0.5000
0.0000 0.0000 0.0000
0.5000 0.0000 0.0000
0.2870 0.2870 0.5000
0.0000 0.5000 0.0000
0.7559 0.2441 0.5000
0.5000 0.5000 0.0000
0.2441 0.7559 0.5000
```


(3)
Here is crystalline Li6CaAg6 at its relaxed geometry from the Alexandria database. Energies are from PBE.

Energy of formation in eV per formula unit: -2.0
Space-group type: Immm (71)
Offset from the most stable computed form in eV per atom: 0.0357
Electronic total energy in eV/atom: -2.506

Structure (POSCAR):
```
Li6CaAg6
1.0
-2.6342 3.4432 3.0110
-6.4359 -2.5020 1.8571
1.2321 -1.0961 6.9578
Ag Li Ca
6 6 1
direct
0.0000 0.3471 0.6529
0.7164 0.7836 0.7836
0.3508 0.6492 0.6492
0.2836 0.2164 0.2164
0.6492 0.3508 0.3508
0.0000 0.6529 0.3471
0.5000 0.2222 0.7778
0.5000 0.5000 0.0000
0.0000 0.0000 0.5000
0.5000 0.7778 0.2222
0.5000 0.0000 0.5000
0.0000 0.5000 0.0000
0.0000 0.0000 0.0000
```


(4)
Here is crystalline TlCd5 at its relaxed geometry from the Alexandria database. Energies are from PBE.

Energy of formation in eV per formula unit: 0.2
Space-group type: Amm2 (38)
Offset from the most stable computed form in eV per atom: 0.0124
Electronic total energy in eV/atom: -1.125

Structure (POSCAR):
```
TlCd5
1.0
-5.7352 -3.8223 5.7883
5.9365 0.9009 -6.7048
4.0360 -0.8088 3.4649
Cd Tl
5 1
direct
0.6684 0.3316 0.0000
0.9872 0.0128 0.0000
0.3282 0.6718 0.0000
0.4445 0.5555 0.5000
0.7899 0.2101 0.5000
0.1152 0.8848 0.5000
```


(5)
Here is crystalline GaSbOs3 at its relaxed geometry from the Alexandria database. Energies are from PBE.

Raw formation energy in eV/f.u.: 12.13
Space-group type: Pm-3m (221)
Offset from the most stable computed form in eV per atom: 0.6877
Electronic total energy in eV/atom: -5.741

Structure (POSCAR):
```
GaSbOs3
1.0
4.8359 0.0000 0.0000
0.0000 4.8359 0.0000
0.0000 0.0000 4.8359
Os Ga Sb
3 1 1
direct
0.0000 0.5000 0.0000
0.0000 0.0000 0.5000
0.5000 0.0000 0.0000
0.5000 0.5000 0.5000
0.0000 0.0000 0.0000
```


(6)
Here is crystalline LiTeF3 at its relaxed geometry from the Alexandria database. Energies are from PBE.

Raw formation energy in eV/f.u.: -7.08
Space-group type: Pm-3m (221)
Offset from the most stable computed form in eV per atom: 0.2420
Electronic total energy in eV/atom: -3.551

Structure (POSCAR):
```
LiTeF3
1.0
-4.5824 0.9034 0.6001
-1.0007 -4.5265 -0.8272
0.4182 -0.9325 4.5968
Te F Li
1 3 1
direct
0.0000 0.0000 0.0000
0.0000 0.0000 0.5000
0.0000 0.5000 0.0000
0.5000 0.0000 0.0000
0.5000 0.5000 0.5000
```


(7)
Here is crystalline La2ScHgOs at its relaxed geometry from the Alexandria database. Energies are from PBE.

Energy of formation in eV per formula unit: -0.8
Space-group type: P4/mmm (123)
Electronic total energy in eV/atom: -5.694

Structure (POSCAR):
```
La2ScHgOs
1.0
5.5920 0.0000 0.0000
0.0000 5.5920 0.0000
0.0000 0.0000 5.0675
Os La Hg Sc
1 2 1 1
direct
0.0000 0.0000 0.0000
0.5000 0.0000 0.0000
0.0000 0.5000 0.0000
0.5000 0.5000 0.5000
0.0000 0.0000 0.5000
```


(8)
Here is crystalline PmPrHo at its relaxed geometry from the Alexandria database. Energies are from PBE.

Energy of formation in eV per formula unit: 0.1
Space-group type: I4mm (107)
Offset from the most stable computed form in eV per atom: 0.0040
Electronic total energy in eV/atom: -4.680

Structure (POSCAR):
```
PmPrHo
1.0
3.6376 0.0000 0.0000
0.0000 3.6376 0.0000
-1.8188 -1.8188 7.6887
Pr Ho Pm
1 1 1
direct
0.0016 0.0016 0.0033
0.6675 0.6675 0.3351
0.3308 0.3308 0.6617
```


(9)
Here is crystalline Cu2HgMo at its relaxed geometry from the Alexandria database. Energies are from PBE.

Energy of formation in eV per formula unit: 3.4
Space-group type: I-42d (122)
Electronic total energy in eV/atom: -3.978

Structure (POSCAR):
```
Cu2HgMo
1.0
-4.9146 -4.2434 2.5235
0.7300 -4.1461 -5.5502
-0.1449 -5.6509 -0.1694
Cu Mo Hg
4 2 2
direct
0.1355 0.6250 0.2500
0.6145 0.1250 0.2500
0.8750 0.8645 0.7500
0.3750 0.3855 0.7500
0.2500 0.7500 0.5000
0.5000 0.5000 0.0000
0.7500 0.2500 0.5000
0.0000 0.0000 0.0000
```


(10)
Here is crystalline Sc2PaInC at its relaxed geometry from the Alexandria database. Energies are from PBE.

Energy of formation in eV per formula unit: -2.1
Space-group type: P4/mmm (123)
Electronic total energy in eV/atom: -7.247

Structure (POSCAR):
```
Sc2PaInC
1.0
4.6759 0.0000 0.0000
0.0000 4.6754 0.0000
0.0000 0.0000 4.6754
Sc In C Pa
2 1 1 1
direct
0.0000 0.0000 0.5000
0.0000 0.5000 0.0000
0.5000 0.5000 0.5000
0.0000 0.0000 0.0000
0.5000 0.0000 0.0000
```


(11)
Here is crystalline Ba3AsW at its relaxed geometry from the Alexandria database. Energies are from PBE.

Energy of formation in eV per formula unit: 3.3
Space-group type: Pm-3m (221)
Offset from the most stable computed form in eV per atom: 0.0000
Electronic total energy in eV/atom: -4.011

Structure (POSCAR):
```
Ba3AsW
1.0
6.2959 0.0000 0.0000
0.0000 6.2959 0.0000
0.0000 0.0000 6.2959
As Ba W
1 3 1
direct
0.0000 0.0000 0.0000
0.0000 0.0000 0.5000
0.0000 0.5000 0.0000
0.5000 0.0000 0.0000
0.5000 0.5000 0.5000
```


(12)
Here is crystalline RbCuTeSe2 at its relaxed geometry from the Alexandria database. Energies are from PBE.

Raw formation energy in eV/f.u.: -1.37
Space-group type: Cmme (67)
Electronic total energy in eV/atom: -3.309

Structure (POSCAR):
```
RbCuTeSe2
1.0
-4.5904 0.3036 1.5585
1.0275 -7.6855 4.5236
1.9599 7.9866 4.2167
Se Rb Cu Te
4 2 2 2
direct
0.3288 0.3971 0.7941
0.6712 0.8971 0.7941
0.6712 0.6029 0.2059
0.3288 0.1029 0.2059
0.1829 0.7500 0.5000
0.8171 0.2500 0.5000
0.0000 0.0000 0.0000
0.0000 0.5000 0.0000
0.5000 0.2500 0.0000
0.5000 0.7500 0.0000
```